# 1
Density functional theory data (PBE) for an optimized crystal structure of Ba3HfZr.

Output
- Electronic total energy: -3.500 eV per atom
- Excess energy over the best structure of this formula in the dataset: 0 meV/atom
- Calculated formation energy: 31.22 kcal/mol of atoms
- Total magnetic moment: 1.309 μB per formula unit

Geometry as CIF:
```
data_Ba3HfZr
_cell_length_a 6.211
_cell_length_b 6.211
_cell_length_c 6.211
_cell_angle_alpha 90.00
_cell_angle_beta 90.00
_cell_angle_gamma 90.00
_symmetry_space_group_name_H-M 'P m -3 m'
_symmetry_Int_Tables_number 221
_symmetry_space_group_name_Hall '-P 4 2 3'
loop_
_atom_site_label
_atom_site_fract_x
_atom_site_fract_y
_atom_site_fract_z
Ba1 0.000 0.000 0.500
Hf1 0.500 0.500 0.500
Zr1 0.000 0.000 0.000
```



# 2
Density functional theory data (PBE) for an optimized crystal structure of Hf4AlCo2.

Output
- Electronic total energy: -8.353 eV per atom
- Calculated formation energy: -2.31 kcal/mol of atoms
- Total magnetic moment: 0.000 μB per formula unit

Geometry as CIF:
```
data_Hf4AlCo2
_cell_length_a 4.3129
_cell_length_b 4.3129
_cell_length_c 25.0695
_cell_angle_alpha 90.00
_cell_angle_beta 90.00
_cell_angle_gamma 120.00
_symmetry_space_group_name_H-M 'R -3 m'
_symmetry_Int_Tables_number 166
_symmetry_space_group_name_Hall '-R 3 2"'
loop_
_atom_site_label
_atom_site_fract_x
_atom_site_fract_y
_atom_site_fract_z
Hf1 0.0000 0.0000 0.1140
Hf2 0.0000 0.0000 0.2969
Al1 0.0000 0.0000 0.5000
Co1 0.0000 0.0000 0.4016
```



# 3
Density functional theory data (PBE) for an optimized crystal structure of Ac2HoAuO6.

Output
- Electronic total energy: -6.974 eV per atom
- Total magnetic moment: 0.000 μB per formula unit
- Uncorrected formation energy: -2.392 eV per atom

Geometry as CIF:
```
data_Ac2HoAuO6
_cell_length_a 5.525
_cell_length_b 5.525
_cell_length_c 5.821
_cell_angle_alpha 90.00
_cell_angle_beta 90.00
_cell_angle_gamma 90.00
_symmetry_space_group_name_H-M 'P 4 m m'
_symmetry_Int_Tables_number 99
_symmetry_space_group_name_Hall 'P 4 -2'
loop_
_atom_site_label
_atom_site_fract_x
_atom_site_fract_y
_atom_site_fract_z
Ac1 0.000 0.500 0.000
Ho1 0.000 0.000 0.535
Au1 0.500 0.500 0.663
O1 0.000 0.000 0.162
O2 0.245 0.245 0.713
O3 0.500 0.500 0.127
```



# 4
Density functional theory data (PBE) for an optimized crystal structure of Ba2Li3CeBi4.

Output
- Electronic total energy: -3.784 eV per atom
- Calculated formation energy: -15.66 kcal/mol of atoms
- Total magnetic moment: 1.656 μB per formula unit

Geometry as CIF:
```
data_Ba2Li3CeBi4
_cell_length_a 5.068
_cell_length_b 5.068
_cell_length_c 12.491
_cell_angle_alpha 90.00
_cell_angle_beta 90.00
_cell_angle_gamma 90.00
_symmetry_space_group_name_H-M 'P -4 m 2'
_symmetry_Int_Tables_number 115
_symmetry_space_group_name_Hall 'P -4 -2'
loop_
_atom_site_label
_atom_site_fract_x
_atom_site_fract_y
_atom_site_fract_z
Ba1 0.000 0.500 0.221
Li1 0.000 0.500 0.883
Li2 0.500 0.500 0.500
Ce1 0.000 0.000 0.500
Bi1 0.000 0.000 0.000
Bi2 0.000 0.500 0.653
Bi3 0.500 0.500 0.000
```



# 5
Density functional theory data (PBE) for an optimized crystal structure of NaReS3.

Output
- Electronic total energy: -5.394 eV per atom
- Excess energy over the best structure of this formula in the dataset: 309 meV/atom
- Total magnetic moment: 0.000 μB per formula unit
- Uncorrected formation energy: -0.164 eV per atom

Geometry as CIF:
```
data_NaReS3
_cell_length_a 4.692
_cell_length_b 4.692
_cell_length_c 4.692
_cell_angle_alpha 90.00
_cell_angle_beta 90.00
_cell_angle_gamma 90.00
_symmetry_space_group_name_H-M 'P m -3 m'
_symmetry_Int_Tables_number 221
_symmetry_space_group_name_Hall '-P 4 2 3'
loop_
_atom_site_label
_atom_site_fract_x
_atom_site_fract_y
_atom_site_fract_z
Na1 0.000 0.000 0.000
Re1 0.500 0.500 0.500
S1 0.000 0.500 0.500
```



# 6
Density functional theory data (PBE) for an optimized crystal structure of Rb2NaBI6.

Output
- Electronic total energy: -2.456 eV per atom
- Total magnetic moment: 0.000 μB per formula unit
- Uncorrected formation energy: -0.532 eV per atom

Geometry as CIF:
```
data_Rb2NaBI6
_cell_length_a 8.086
_cell_length_b 8.086
_cell_length_c 12.285
_cell_angle_alpha 90.00
_cell_angle_beta 90.00
_cell_angle_gamma 90.00
_symmetry_space_group_name_H-M 'I 4/m m m'
_symmetry_Int_Tables_number 139
_symmetry_space_group_name_Hall '-I 4 2'
loop_
_atom_site_label
_atom_site_fract_x
_atom_site_fract_y
_atom_site_fract_z
Rb1 0.000 0.500 0.250
Na1 0.000 0.000 0.000
B1 0.000 0.000 0.500
I1 0.000 0.000 0.245
I2 0.215 0.215 0.500
```



# 7
Density functional theory data (PBE) for an optimized crystal structure of LiBC.

Output
- Electronic total energy: -5.991 eV per atom
- Calculated formation energy: -1.22 kcal/mol of atoms
- Total magnetic moment: 0.000 μB per formula unit

Geometry as CIF:
```
data_LiBC
_cell_length_a 3.090
_cell_length_b 3.488
_cell_length_c 5.333
_cell_angle_alpha 89.55
_cell_angle_beta 73.61
_cell_angle_gamma 89.99
_symmetry_space_group_name_H-M 'P -1'
_symmetry_Int_Tables_number 2
_symmetry_space_group_name_Hall '-P 1'
loop_
_atom_site_label
_atom_site_fract_x
_atom_site_fract_y
_atom_site_fract_z
Li1 0.136 0.497 0.234
B1 0.289 0.000 0.919
C1 0.435 0.001 0.625
```



# 8
Density functional theory data (PBE) for an optimized crystal structure of KRb2MoCl6.

Output
- Electronic total energy: -4.024 eV per atom
- Excess energy over the best structure of this formula in the dataset: 7 meV/atom
- Total magnetic moment: 3.000 μB per formula unit
- Uncorrected formation energy: -1.530 eV per atom

Geometry as CIF:
```
data_KRb2MoCl6
_cell_length_a 10.873
_cell_length_b 10.873
_cell_length_c 10.873
_cell_angle_alpha 90.00
_cell_angle_beta 90.00
_cell_angle_gamma 90.00
_symmetry_space_group_name_H-M 'F m -3 m'
_symmetry_Int_Tables_number 225
_symmetry_space_group_name_Hall '-F 4 2 3'
loop_
_atom_site_label
_atom_site_fract_x
_atom_site_fract_y
_atom_site_fract_z
K1 0.000 0.000 0.000
Rb1 0.250 0.250 0.250
Mo1 0.000 0.000 0.500
Cl1 0.000 0.000 0.274
```



# 9
Density functional theory data (PBE) for an optimized crystal structure of CsNb3Au.

Output
- Electronic total energy: -4.243 eV per atom
- Excess energy over the best structure of this formula in the dataset: 835 meV/atom
- Calculated formation energy: 60.54 kcal/mol of atoms
- Total magnetic moment: 0.000 μB per formula unit

Geometry as CIF:
```
data_CsNb3Au
_cell_length_a 4.998
_cell_length_b 4.998
_cell_length_c 4.998
_cell_angle_alpha 90.00
_cell_angle_beta 90.00
_cell_angle_gamma 90.00
_symmetry_space_group_name_H-M 'P m -3 m'
_symmetry_Int_Tables_number 221
_symmetry_space_group_name_Hall '-P 4 2 3'
loop_
_atom_site_label
_atom_site_fract_x
_atom_site_fract_y
_atom_site_fract_z
Cs1 0.000 0.000 0.000
Nb1 0.000 0.000 0.500
Au1 0.500 0.500 0.500
```



# 10
Density functional theory data (PBE) for an optimized crystal structure of AcY3.

Output
- Electronic total energy: -5.819 eV per atom
- Calculated formation energy: 1.29 kcal/mol of atoms
- Total magnetic moment: 0.000 μB per formula unit

Geometry as CIF:
```
data_AcY3
_cell_length_a 8.193
_cell_length_b 11.906
_cell_length_c 5.801
_cell_angle_alpha 90.00
_cell_angle_beta 90.00
_cell_angle_gamma 90.00
_symmetry_space_group_name_H-M 'C m c m'
_symmetry_Int_Tables_number 63
_symmetry_space_group_name_Hall '-C 2c 2'
loop_
_atom_site_label
_atom_site_fract_x
_atom_site_fract_y
_atom_site_fract_z
Ac1 0.000 0.127 0.250
Y1 0.000 0.331 0.750
Y2 0.210 0.402 0.250
```



# 11
Density functional theory data (PBE) for an optimized crystal structure of SrLa4Pt4.

Output
- Electronic total energy: -6.100 eV per atom
- Calculated formation energy: -23.96 kcal/mol of atoms
- Total magnetic moment: 0.000 μB per formula unit

Geometry as CIF:
```
data_SrLa4Pt4
_cell_length_a 13.689
_cell_length_b 5.944
_cell_length_c 9.675
_cell_angle_alpha 90.00
_cell_angle_beta 134.96
_cell_angle_gamma 90.00
_symmetry_space_group_name_H-M 'C 1 2/m 1'
_symmetry_Int_Tables_number 12
_symmetry_space_group_name_Hall '-C 2y'
loop_
_atom_site_label
_atom_site_fract_x
_atom_site_fract_y
_atom_site_fract_z
Sr1 0.000 0.000 0.000
La1 0.109 0.500 0.789
La2 0.179 0.000 0.570
Pt1 0.111 0.000 0.804
Pt2 0.193 0.500 0.582
```



# 12
Density functional theory data (PBE) for an optimized crystal structure of K4LaNp3Se8.

Output
- Electronic total energy: -6.146 eV per atom
- Total magnetic moment: 12.000 μB per formula unit
- Uncorrected formation energy: -1.395 eV per atom

Geometry as CIF:
```
data_K4LaNp3Se8
_cell_length_a 8.6416
_cell_length_b 8.6416
_cell_length_c 22.9828
_cell_angle_alpha 90.00
_cell_angle_beta 90.00
_cell_angle_gamma 120.00
_symmetry_space_group_name_H-M 'R -3 m'
_symmetry_Int_Tables_number 166
_symmetry_space_group_name_Hall '-R 3 2"'
loop_
_atom_site_label
_atom_site_fract_x
_atom_site_fract_y
_atom_site_fract_z
K1 0.0000 0.0000 0.0000
K2 0.0000 0.5000 0.0000
La1 0.0000 0.0000 0.5000
Np1 0.0000 0.5000 0.5000
Se1 0.0000 0.0000 0.2340
Se2 0.0078 0.5039 0.7638
```